(1)
Computed, not measured: a geometry-optimized Tm2BiO2 structure at the GGA-PBE level of DFT.

**Final energy**: -7.3111 eV per atom
**Space group**: No. 139
**Crystal system**: tetragonal

Cell lengths 7.158, 7.158, 7.158 Å; angles 149.14, 149.14, 44.21 degrees
Fractional positions:
Bi 0.000 0.000 0.000
O 0.750 0.250 0.500
O 0.250 0.750 0.500
Tm 0.332 0.332 0.000
Tm 0.668 0.668 0.000

---

(2)
Computed, not measured: a geometry-optimized Tm2Bi2O5 structure at the GGA-PBE level of DFT.

**Relative energy among the computed polymorphs**: 0.00 kJ per mole of atoms
**Final energy**: -6.7992 eV per atom
**Space group**: No. 123
**Crystal system**: tetragonal

Cell lengths 9.079, 3.984, 3.984 Å; angles 90.00, 90.00, 90.00 degrees
Site moments in Bohr magnetons follow the coordinates.
Fractional positions:
Bi 0.000 0.000 0.000  0.01
Bi 0.500 0.000 0.000  0.23
O 0.160 0.500 0.000  0.04
O 0.840 0.500 0.000  0.04
O 0.160 0.000 0.500  0.04
O 0.840 0.000 0.500  0.04
O 0.500 0.500 0.500  0.02
Tm 0.251 0.500 0.500  0.00
Tm 0.749 0.500 0.500  0.00

---

(3)
Computed, not measured: a geometry-optimized Tm2Bi2O5 structure at the GGA-PBE level of DFT.

**Relative energy among the computed polymorphs**: 81.59 kJ per mole of atoms
**Final energy**: -5.9536 eV per atom
**Space group**: No. 123
**Crystal system**: tetragonal

Cell lengths 8.015, 4.185, 4.185 Å; angles 90.00, 90.00, 90.00 degrees
Fractional positions:
Bi 0.229 0.500 0.500
Bi 0.771 0.500 0.500
O 0.311 0.500 0.000
O 0.689 0.500 0.000
O 0.311 0.000 0.500
O 0.689 0.000 0.500
O 0.500 0.500 0.500
Tm 0.000 0.000 0.000
Tm 0.500 0.000 0.000

---

(4)
Computed, not measured: a geometry-optimized TmBiO3 structure at the GGA-PBE level of DFT.

**Final energy**: -6.7099 eV per atom
**Space group**: No. 63
**Crystal system**: orthorhombic

Cell lengths 4.228, 8.374, 4.233 Å; angles 90.00, 99.05, 90.00 degrees
Fractional positions:
Bi 0.000 0.000 0.000
Bi 0.000 0.500 0.000
O 0.699 0.250 0.082
O 0.917 0.750 0.302
O 0.500 0.000 0.500
O 0.500 0.500 0.500
O 0.083 0.250 0.698
O 0.301 0.750 0.918
Tm 0.447 0.750 0.448
Tm 0.553 0.250 0.552

---

(5)
Computed, not measured: a geometry-optimized YTm2BiO6 structure at the GGA-PBE level of DFT.

**Final energy**: -7.8910 eV per atom
**Space group**: No. 146
**Crystal system**: trigonal

Cell lengths 5.954, 5.954, 5.954 Å; angles 58.31, 58.31, 58.31 degrees
Fractional positions:
Bi 0.515 0.515 0.515
O 0.410 0.687 0.099
O 0.933 0.600 0.163
O 0.687 0.099 0.410
O 0.163 0.933 0.600
O 0.099 0.410 0.687
O 0.600 0.163 0.933
Tm 0.294 0.294 0.294
Tm 0.793 0.793 0.793
Y 0.011 0.011 0.011

---

(6)
Computed, not measured: a geometry-optimized ZrBiO3 structure at the GGA-PBE level of DFT.

**Final energy**: -7.6411 eV per atom
**Space group**: No. 54
**Crystal system**: orthorhombic

Cell lengths 5.261, 5.387, 10.309 Å; angles 90.00, 90.00, 90.00 degrees
Fractional positions:
Bi 0.250 0.000 0.148
Bi 0.750 0.000 0.352
Bi 0.250 0.000 0.648
Bi 0.750 0.000 0.852
O 0.975 0.255 0.002
O 0.525 0.745 0.002
O 0.500 0.380 0.250
O 0.000 0.620 0.250
O 0.025 0.255 0.498
O 0.475 0.745 0.498
O 0.525 0.255 0.502
O 0.975 0.745 0.502
O 0.000 0.380 0.750
O 0.500 0.620 0.750
O 0.475 0.255 0.998
O 0.025 0.745 0.998
Zr 0.750 0.500 0.103
Zr 0.250 0.500 0.397
Zr 0.750 0.500 0.603
Zr 0.250 0.500 0.897